No. 1
K2ScCdCl6 | PBE | relaxed

Lattice parameters (Å, degrees): 7.4841 7.4841 7.4841 60.00 60.00 60.00
Sites, in units of the cell vectors:
1 Sc 0.0000 0.0000 0.0000
2 Cl 0.2355 0.7645 0.2355
3 K 0.2500 0.2500 0.2500
4 Cl 0.2355 0.2355 0.7645
5 Cl 0.7645 0.2355 0.7645
6 K 0.7500 0.7500 0.7500
7 Cl 0.2355 0.7645 0.7645
8 Cd 0.5000 0.5000 0.5000
9 Cl 0.7645 0.2355 0.2355
10 Cl 0.7645 0.7645 0.2355

* spin magnetization: 0.005 μB per atom
* final energy: -3.73 eV/atom


No. 2
Cd2MoCl8 | PBE | relaxed

Lattice parameters (Å, degrees): 9.6532 9.6532 9.6532 143.66 143.66 52.33
Last column: magnetic moment on the atom in μB.
Sites, in units of the cell vectors:
1 Cl 0.7074 0.1599 0.0009  0.05
2 Cl 0.9118 0.4364 0.0006  0.00
3 Cl 0.4358 0.9113 0.9994  0.00
4 Cl 0.2935 0.2926 0.4525  0.05
5 Cl 0.8401 0.8410 0.5475  0.05
6 Cl 0.0887 0.0882 0.5246  0.00
7 Mo 0.0000 0.0000 0.0000  1.52
8 Cl 0.1590 0.7065 0.9991  0.05
9 Cl 0.5636 0.5642 0.4754  0.00
10 Cd 0.2403 0.2403 0.0000  0.00
11 Cd 0.7597 0.7597 0.0000  0.00

* spin magnetization: 0.182 μB per atom
* final energy: -3.36 eV/atom


No. 3
CdMoCl2 | PBE | relaxed

Lattice parameters (Å, degrees): 3.0842 3.0842 9.8723 90.00 90.00 120.00
Sites, in units of the cell vectors:
1 Mo 0.6667 0.3333 0.5000
2 Cd 0.3333 0.6667 0.0000
3 Cl 0.6667 0.3333 0.2715
4 Cl 0.6667 0.3333 0.7285

* spin magnetization: 0.008 μB per atom
* final energy: -3.88 eV/atom


No. 4
Na2CdCl4 | PBE | relaxed

Lattice parameters (Å, degrees): 13.7059 8.0388 6.6220 90.00 90.00 90.00
Sites, in units of the cell vectors:
1 Na 0.5000 0.5000 0.0000
2 Cl 0.1690 0.9922 0.7451
3 Cl 0.4285 0.7500 0.7458
4 Na 0.2695 0.7500 0.4965
5 Cl 0.5906 0.7500 0.2084
6 Na 0.0000 0.5000 0.5000
7 Cl 0.8310 0.4922 0.2549
8 Cd 0.9061 0.2500 0.0772
9 Cl 0.5715 0.2500 0.2542
10 Na 0.7305 0.2500 0.5035
11 Cl 0.6690 0.9922 0.7549
12 Cd 0.4061 0.2500 0.4228
13 Cl 0.9285 0.7500 0.7542
14 Cl 0.0906 0.7500 0.2916
15 Cl 0.3310 0.0078 0.2451
16 Cl 0.3310 0.4922 0.2451
17 Cl 0.1690 0.5078 0.7451
18 Cl 0.0715 0.2500 0.2458
19 Na 0.2305 0.2500 0.9965
20 Cd 0.0939 0.7500 0.9228
21 Na 0.7695 0.7500 0.0035
22 Na 0.5000 0.0000 0.0000
23 Cl 0.6690 0.5078 0.7549
24 Cl 0.8310 0.0078 0.2549
25 Na 0.0000 0.0000 0.5000
26 Cl 0.9094 0.2500 0.7084
27 Cd 0.5939 0.7500 0.5772
28 Cl 0.4094 0.2500 0.7916

* final energy: -3.05 eV/atom


No. 5
NbCd2Cl2 | PBE | relaxed

Lattice parameters (Å, degrees): 3.0170 5.8544 7.0500 103.47 90.03 104.88
Last column: magnetic moment on the atom in μB.
Sites, in units of the cell vectors:
1 Cl 0.8812 0.7611 0.1699  0.00
2 Cd 0.1698 0.3394 0.3382  0.00
3 Cd 0.8302 0.6606 0.6618  0.00
4 Nb 0.5000 0.0000 0.0000  0.53
5 Cl 0.1188 0.2389 0.8301  0.00

* spin magnetization: 0.132 μB per atom
* final energy: -3.49 eV/atom


No. 6
SrNdCdCl2O2 | PBE | relaxed

Lattice parameters (Å, degrees): 6.7895 6.7895 8.3274 125.45 125.45 31.82
Sites, in units of the cell vectors:
1 Cl 0.5656 0.5656 0.3794
2 O 0.2066 0.2066 0.0986
3 Nd 0.8287 0.8287 0.2332
4 Cd 0.9944 0.9944 0.9856
5 Sr 0.1723 0.1723 0.7598
6 Cl 0.4265 0.4265 0.5978
7 O 0.8058 0.8058 0.9456

* spin magnetization: 0.000 μB per atom
* final energy: -5.13 eV/atom


No. 7
Rb2CdNiCl6 | PBE | relaxed

Lattice parameters (Å, degrees): 7.1336 7.1336 7.1336 60.00 60.00 60.00
Last column: magnetic moment on the atom in μB.
Sites, in units of the cell vectors:
1 Cd 0.5000 0.5000 0.5000  0.05
2 Cl 0.2393 0.2393 0.7607  0.05
3 Cl 0.2393 0.7607 0.7607  0.07
4 Cl 0.7607 0.2393 0.2393  0.07
5 Cl 0.7607 0.2393 0.7607  0.07
6 Rb 0.7500 0.7500 0.7500  0.00
7 Cl 0.2393 0.7607 0.2393  0.07
8 Cl 0.7607 0.7607 0.2393  0.05
9 Rb 0.2500 0.2500 0.2500  0.00
10 Ni 0.0000 0.0000 0.0000  1.45

* spin magnetization: 0.200 μB per atom
* final energy: -3.21 eV/atom


No. 8
Tl2CdNiCl6 | PBE | relaxed

Lattice parameters (Å, degrees): 7.0969 7.0969 7.0969 60.00 60.00 60.00
Last column: magnetic moment on the atom in μB.
Sites, in units of the cell vectors:
1 Cl 0.2611 0.2611 0.7389  0.05
2 Cl 0.7389 0.2611 0.2611  0.07
3 Cl 0.7389 0.7389 0.2611  0.05
4 Tl 0.7500 0.7500 0.7500  0.00
5 Cd 0.0000 0.0000 0.0000  0.05
6 Cl 0.2611 0.7389 0.7389  0.07
7 Cl 0.2611 0.7389 0.2611  0.07
8 Tl 0.2500 0.2500 0.2500  0.00
9 Ni 0.5000 0.5000 0.5000  1.44
10 Cl 0.7389 0.2611 0.7389  0.07

* spin magnetization: 0.200 μB per atom
* final energy: -3.08 eV/atom


No. 9
Cd3Cl2O2 | PBE | relaxed

Lattice parameters (Å, degrees): 7.4200 7.4200 7.4200 109.47 109.47 109.47
Sites, in units of the cell vectors:
1 Cd 0.2500 0.1889 0.9389
2 Cd 0.7500 0.3111 0.5611
3 Cd 0.3111 0.5611 0.7500
4 Cd 0.1889 0.9389 0.2500
5 Cl 0.5119 0.5119 0.5119
6 Cl 0.5000 0.0000 0.9881
7 O 0.5000 0.0000 0.4685
8 Cd 0.9389 0.2500 0.1889
9 O 0.0315 0.0315 0.0315
10 Cl 0.0000 0.9881 0.5000
11 O 0.0000 0.4685 0.5000
12 Cl 0.9881 0.5000 0.0000
13 Cd 0.5611 0.7500 0.3111
14 O 0.4685 0.5000 0.0000

* final energy: -3.28 eV/atom


No. 10
Cd5P3ClO12 | PBE | relaxed

Lattice parameters (Å, degrees): 9.6737 9.6738 6.5374 90.00 90.00 120.00
Sites, in units of the cell vectors:
1 O 0.5414 0.4107 0.7500
2 O 0.4982 0.3458 0.2500
3 O 0.6561 0.9194 0.0606
4 O 0.7366 0.6561 0.5606
5 Cl 0.0000 0.0000 0.7500
6 Cd 0.3333 0.6667 0.9962
7 O 0.2634 0.3439 0.4394
8 O 0.5018 0.6542 0.7500
9 O 0.9194 0.2634 0.5606
10 Cd 0.2572 0.9867 0.2500
11 O 0.6543 0.1525 0.2500
12 Cd 0.2705 0.2572 0.7500
13 Cl 0.0000 0.0000 0.2500
14 O 0.8694 0.4587 0.7500
15 O 0.3439 0.0806 0.5606
16 O 0.3439 0.0806 0.9394
17 Cd 0.6667 0.3333 0.0038
18 Cd 0.0133 0.2705 0.2500
19 P 0.5985 0.9725 0.2500
20 O 0.4586 0.5893 0.2500
21 O 0.7366 0.6561 0.9394
22 P 0.6260 0.5985 0.7500
23 O 0.5893 0.1306 0.7500
24 Cd 0.3333 0.6667 0.5038
25 Cd 0.6667 0.3333 0.4962
26 O 0.6561 0.9194 0.4394
27 O 0.0806 0.7366 0.4394
28 O 0.3457 0.8475 0.7500
29 O 0.0806 0.7366 0.0606
30 O 0.2634 0.3439 0.0606
31 Cd 0.7428 0.0133 0.7500
32 Cd 0.9867 0.7295 0.7500
33 P 0.0275 0.6260 0.2500
34 O 0.4107 0.8694 0.2500
35 O 0.1525 0.4982 0.7500
36 O 0.8475 0.5018 0.2500
37 P 0.9725 0.3740 0.7500
38 O 0.9194 0.2634 0.9394
39 P 0.3740 0.4015 0.2500
40 P 0.4015 0.0275 0.7500
41 O 0.1306 0.5413 0.2500
42 Cd 0.7295 0.7428 0.2500

* final energy: -5.66 eV/atom


No. 11
Cd3PCl3O4 | PBE | relaxed

Lattice parameters (Å, degrees): 7.7280 7.7280 7.7280 116.68 116.68 116.68
Sites, in units of the cell vectors:
1 Cl 0.1453 0.5568 0.5640
2 O 0.8632 0.0684 0.8768
3 O 0.3911 0.3911 0.3911
4 O 0.8768 0.8632 0.0684
5 Cd 0.6437 0.3387 0.3271
6 Cl 0.5640 0.1453 0.5568
7 P 0.0238 0.0238 0.0238
8 O 0.0684 0.8768 0.8632
9 Cd 0.3271 0.6437 0.3387
10 Cd 0.3387 0.3271 0.6437
11 Cl 0.5568 0.5640 0.1453

* final energy: -4.46 eV/atom


No. 12
CdPb2Cl2O2 | PBE | relaxed

Lattice parameters (Å, degrees): 6.5093 6.5093 7.6775 120.38 120.38 34.47
Sites, in units of the cell vectors:
1 Cd 0.0003 0.0003 0.0011
2 Pb 0.1874 0.1874 0.7594
3 Pb 0.8122 0.8122 0.2384
4 Cl 0.4397 0.4397 0.7040
5 O 0.1933 0.1933 0.0682
6 Cl 0.5608 0.5608 0.2987
7 O 0.8063 0.8063 0.9303

* final energy: -4.32 eV/atom


No. 13
CdPbCl2O | PBE | relaxed

Lattice parameters (Å, degrees): 6.3735 12.1333 6.0189 90.00 95.83 90.00
Sites, in units of the cell vectors:
1 Pb 0.1656 0.1430 0.8175
2 Cd 0.4697 0.6506 0.1304
3 Pb 0.8344 0.8570 0.1825
4 Cl 0.9100 0.1548 0.2867
5 Pb 0.1656 0.3570 0.3175
6 Cl 0.9100 0.3452 0.7867
7 Cl 0.3765 0.5404 0.7344
8 Cl 0.3765 0.9596 0.2344
9 Cd 0.5303 0.1506 0.3696
10 Cd 0.5303 0.3494 0.8696
11 Cl 0.0900 0.8452 0.7133
12 Pb 0.8344 0.6430 0.6825
13 Cl 0.6235 0.4596 0.2656
14 O 0.6531 0.7461 0.4114
15 Cl 0.0900 0.6548 0.2133
16 Cl 0.6235 0.0404 0.7656
17 O 0.3469 0.2539 0.5886
18 O 0.6531 0.7539 0.9114
19 O 0.3469 0.2461 0.0886
20 Cd 0.4697 0.8494 0.6304

* final energy: -3.80 eV/atom


No. 14
SrCdPbCl2O2 | PBE | relaxed

Lattice parameters (Å, degrees): 6.4778 6.4778 7.4617 120.40 120.40 35.28
Sites, in units of the cell vectors:
1 Sr 0.1853 0.1853 0.7354
2 Cl 0.4407 0.4407 0.6873
3 O 0.1861 0.1861 0.0695
4 Cd 0.9973 0.9973 0.9980
5 Pb 0.8044 0.8044 0.2286
6 O 0.8088 0.8088 0.9253
7 Cl 0.5772 0.5772 0.3558

* final energy: -4.53 eV/atom


No. 15
Cd3Se2Cl2O6 | PBE | relaxed

Lattice parameters (Å, degrees): 5.9813 5.9813 7.5994 113.30 113.30 69.87
Sites, in units of the cell vectors:
1 O 0.9032 0.2664 0.3255
2 O 0.6533 0.6533 0.6227
3 O 0.7336 0.0968 0.6745
4 O 0.2664 0.9032 0.3255
5 Cd 0.5285 0.5285 0.2666
6 Cl 0.7140 0.7140 0.1089
7 Cl 0.2860 0.2860 0.8911
8 Se 0.1497 0.1497 0.2239
9 Cd 0.4715 0.4715 0.7334
10 Se 0.8503 0.8503 0.7761
11 O 0.0968 0.7336 0.6745
12 Cd 0.0000 0.0000 0.5000
13 O 0.3467 0.3467 0.3773

* final energy: -4.30 eV/atom


No. 16
Sr3Cd2Cl2O4 | PBE | relaxed

Lattice parameters (Å, degrees): 11.1566 11.1566 11.1566 157.58 157.58 31.92
Sites, in units of the cell vectors:
1 Cd 0.5749 0.5749 0.0000
2 Cl 0.2936 0.2936 0.0000
3 Cd 0.4251 0.4251 0.0000
4 O 0.5793 0.0793 0.5000
5 O 0.9207 0.4207 0.5000
6 O 0.0793 0.5793 0.5000
7 Sr 0.8467 0.8467 0.0000
8 Sr 0.1533 0.1533 0.0000
9 Cl 0.7064 0.7064 0.0000
10 Sr 0.0000 0.0000 0.0000
11 O 0.4207 0.9207 0.5000

* final energy: -4.72 eV/atom


No. 17
Sr2CdCl2O2 | PBE | relaxed

Lattice parameters (Å, degrees): 6.4633 6.4633 7.4945 120.73 120.73 35.25
Sites, in units of the cell vectors:
1 Sr 0.1923 0.1923 0.7527
2 Cd 0.0000 0.0000 0.0000
3 Cl 0.4275 0.4275 0.6396
4 Sr 0.8077 0.8077 0.2473
5 O 0.1848 0.1848 0.0717
6 Cl 0.5725 0.5725 0.3604
7 O 0.8152 0.8152 0.9283

* E above lowest polymorph: 0.0000 eV per atom


No. 18
Sr2CdCl2O2 | PBE | relaxed

Lattice parameters (Å, degrees): 8.1144 8.1144 8.1144 148.94 148.94 44.50
Sites, in units of the cell vectors:
1 O 0.0000 0.5000 0.5000
2 Cd 0.0000 0.0000 0.0000
3 O 0.5000 0.0000 0.5000
4 Cl 0.8115 0.8115 0.0000
5 Cl 0.1885 0.1885 0.0000
6 Sr 0.3908 0.3908 0.0000
7 Sr 0.6092 0.6092 0.0000

* E above lowest polymorph: 0.0687 eV per atom